16
Lattice="6.361 0.000 0.000 0.000 6.361 0.000 0.000 0.000 6.361" Properties=species:S:1:pos:R:3 comment="PBE ScNbReNi, optimized geometry" total_energy_ev_per_atom=-8.8785 n_ef_per_ev_atom=0.886 pbc="T T T"
Sc 0.000 0.000 0.000
Sc 0.000 3.180 3.180
Sc 3.180 0.000 3.180
Sc 3.180 3.180 0.000
Nb 0.000 0.000 3.180
Nb 0.000 3.180 0.000
Nb 3.180 0.000 0.000
Nb 3.180 3.180 3.180
Re 1.590 1.590 4.771
Re 1.590 4.771 1.590
Re 4.771 1.590 1.590
Re 4.771 4.771 4.771
Ni 1.590 1.590 1.590
Ni 1.590 4.771 4.771
Ni 4.771 1.590 4.771
Ni 4.771 4.771 1.590